First-principles (PBE) data for a relaxed structure of Mn3In, as listed in Alexandria.

Unit cell a=4.882 b=4.882 c=4.764 alpha=102.90 beta=102.90 gamma=34.88
Sites, in units of the cell vectors:
Mn: 0.000 0.000 0.000
Mn: 0.254 0.254 0.765
Mn: 0.746 0.746 0.235
In: 0.500 0.500 0.500

Values from the calculation:
SG ... No. 12

***

First-principles (PBE) data for a relaxed structure of Mn2In, as listed in Alexandria.

Unit cell a=4.454 b=4.454 c=4.454 alpha=60.00 beta=60.00 gamma=60.00
Sites, in units of the cell vectors:
Mn: 0.250 0.250 0.250
Mn: 0.750 0.750 0.750
In: 0.000 0.000 0.000

Values from the calculation:
SG ... No. 225

***

First-principles (PBE) data for a relaxed structure of Mn5In4, as listed in Alexandria.

Unit cell a=6.525 b=6.525 c=6.525 alpha=95.96 beta=95.96 gamma=142.39
Sites, in units of the cell vectors:
Mn: 0.000 0.000 0.000
Mn: 0.342 0.342 0.684
Mn: 0.342 0.658 0.000
Mn: 0.658 0.342 0.000
Mn: 0.658 0.658 0.316
In: 0.000 0.311 0.311
In: 0.000 0.689 0.689
In: 0.311 0.000 0.311
In: 0.689 0.000 0.689

Values from the calculation:
Energy relative to the lowest polymorph listed for this composition ... 0 meV/atom
SG ... No. 139

***

Number 1: formation energy from the elements 1.572 eV per formula unit, electronic total energy -28.67 eV per cell, volume 15.8 Å³ per atom. Number 2: formation energy from the elements 2.173 eV per formula unit, electronic total energy -18.90 eV per cell, volume 20.8 Å³ per atom. Number 3: formation energy from the elements 2.561 eV per formula unit, electronic total energy -54.24 eV per cell, volume 17.8 Å³ per atom.